BaCeTe4 PBE optimized geometry; volume = 425 Å³ per cell; E_form (uncorrected) = -647 kJ/mol of formula units
1.0
7.0549 0.0000 0.0000
0.0000 7.0549 0.0000
0.0000 0.0000 8.5338
Ba Ce Te
2 2 8
direct
0.2500 0.2500 0.0000
0.7500 0.7500 0.0000
0.2500 0.2500 0.5000
0.7500 0.7500 0.5000
0.0985 0.5985 0.2806
0.0985 0.9015 0.7194
0.4015 0.5985 0.7194
0.4015 0.9015 0.2806
0.5985 0.0985 0.7194
0.5985 0.4015 0.2806
0.9015 0.0985 0.2806
0.9015 0.4015 0.7194